No. 1
VASP calculation (PBE) on Tb6Nd3DyY2 after structural relaxation.

Values from the calculation:
volume: 32.783 A^3/atom
E: -59.418 eV/cell
spin magnetization: 0.00 μB per atom
SG: C2/m

a = 6.2255 Å, b = 6.2255 Å, c = 11.8996 Å
α = 94.98°, β = 94.98°, γ = 119.98°
Atoms (fractional coordinates):
Dy  0.0000  0.0000  0.0000
Tb  0.7500  0.7500  0.2469
Tb  0.9174  0.5847  0.7531
Tb  0.5847  0.9174  0.7531
Tb  0.2500  0.2500  0.7531
Tb  0.4153  0.0826  0.2469
Tb  0.0826  0.4153  0.2469
Nd  0.5000  0.5000  0.5000
Nd  0.8333  0.1667  0.5000
Nd  0.1667  0.8333  0.5000
Y  0.3333  0.6667  0.0000
Y  0.6667  0.3333  0.0000



No. 2
VASP calculation (PBE) on AgSb2Te after structural relaxation.

Values from the calculation:
volume: 27.008 A^3/atom
E: -13.909 eV/cell
spin magnetization: 0.00 μB per atom
SG: P2/m
formation energy from raw total energies: 0.08 eV per atom

a = 4.1651 Å, b = 3.1204 Å, c = 8.3135 Å
α = 89.05°, β = 90.00°, γ = 90.00°
Atoms (fractional coordinates):
Te  0.5000  0.2500  0.2500
Sb  0.0000  0.2456  0.5418
Sb  0.0000  0.2544  0.9582
Ag  0.5000  0.7500  0.7500



No. 3
VASP calculation (PBE) on La2Ni2Hg after structural relaxation.

Values from the calculation:
volume: 23.735 A^3/atom
E: -23.247 eV/cell
spin magnetization: 0.00 μB per atom
SG: I4/mmm

a = 5.5121 Å, b = 5.5121 Å, c = 5.5180 Å
α = 60.04°, β = 60.04°, γ = 90.00°
Atoms (fractional coordinates):
La  0.7500  0.2500  0.5000
La  0.2500  0.7500  0.5000
Ni  0.3508  0.3508  0.2985
Ni  0.6492  0.6492  0.7015
Hg  0.0000  0.0000  0.0000



> Which of these has the lowest E?

Tb6Nd3DyY2